# PBE TcAs2Au, relaxed
data_TcAs2Au
_space_group_name_H-M_alt 'R 3 m'
_space_group_IT_number 160
_space_group_name_Hall 'R 3 -2"'
_cell_length_a 3.0059
_cell_length_b 3.0059
_cell_length_c 29.1400
_cell_angle_alpha 90.00
_cell_angle_beta 90.00
_cell_angle_gamma 120.00
loop_
_atom_site_label
_atom_site_fract_x
_atom_site_fract_y
_atom_site_fract_z
Tc1 0.0000 0.0000 0.0000
As1 0.0000 0.0000 0.5124
As2 0.0000 0.0000 0.7281
Au1 0.0000 0.0000 0.2541
# - Formation enthalpy at 0 K: 0.22 eV/atom
# - ρ: 9718 kg/m³
# - E: -5.519 eV per atom
# - Polymorph energy (0 for the lowest one): 181 meV per atom
# - Magnetic moment: 0.0 μB per cell